[1]
# Ca3AsW PBE-GGA relaxed
# electronic total energy: -20.8 eV per cell
# energy above the lowest structure with this stoichiometry: 0.000 eV per atom
# theoretical density: 3.68 Mg/m³
data_Ca3AsW
_cell_length_a 5.549
_cell_length_b 5.549
_cell_length_c 5.549
_cell_angle_alpha 90.00
_cell_angle_beta 90.00
_cell_angle_gamma 90.00
_symmetry_space_group_name_H-M 'P m -3 m'
_symmetry_Int_Tables_number 221
_symmetry_space_group_name_Hall '-P 4 2 3'
loop_
_atom_site_label
_atom_site_fract_x
_atom_site_fract_y
_atom_site_fract_z
Ca1 0.000 0.000 0.500
As1 0.000 0.000 0.000
W1 0.500 0.500 0.500

[2]
# BeHgH3 PBE-GGA relaxed
# electronic total energy: -8.7 eV per cell
# energy above the lowest structure with this stoichiometry: 0.457 eV per atom
# theoretical density: 6.17 Mg/m³
data_BeHgH3
_cell_length_a 3.854
_cell_length_b 3.854
_cell_length_c 3.854
_cell_angle_alpha 90.00
_cell_angle_beta 90.00
_cell_angle_gamma 90.00
_symmetry_space_group_name_H-M 'P m -3 m'
_symmetry_Int_Tables_number 221
_symmetry_space_group_name_Hall '-P 4 2 3'
loop_
_atom_site_label
_atom_site_fract_x
_atom_site_fract_y
_atom_site_fract_z
Be1 0.000 0.000 0.000
Hg1 0.500 0.500 0.500
H1 0.000 0.500 0.500

[3]
# LaCdGe PBE-GGA relaxed
# electronic total energy: -22.3 eV per cell
# theoretical density: 6.61 Mg/m³
data_LaCdGe
_cell_length_a 4.261
_cell_length_b 4.261
_cell_length_c 8.962
_cell_angle_alpha 90.00
_cell_angle_beta 90.00
_cell_angle_gamma 90.00
_symmetry_space_group_name_H-M 'I 4 m m'
_symmetry_Int_Tables_number 107
_symmetry_space_group_name_Hall 'I 4 -2'
loop_
_atom_site_label
_atom_site_fract_x
_atom_site_fract_y
_atom_site_fract_z
La1 0.000 0.000 0.000
Cd1 0.000 0.000 0.662
Ge1 0.000 0.000 0.347

[4]
# AcGePtRh PBE-GGA relaxed
# electronic total energy: -50.0 eV per cell
# theoretical density: 10.65 Mg/m³
data_AcGePtRh
_cell_length_a 4.148
_cell_length_b 4.331
_cell_length_c 10.372
_cell_angle_alpha 90.00
_cell_angle_beta 90.00
_cell_angle_gamma 90.00
_symmetry_space_group_name_H-M 'I m m 2'
_symmetry_Int_Tables_number 44
loop_
_symmetry_equiv_pos_as_xyz
'x,y,z'
'-x,-y,z'
'-x,y,z'
'x,-y,z'
'x+1/2,y+1/2,z+1/2'
'-x+1/2,-y+1/2,z+1/2'
'-x+1/2,y+1/2,z+1/2'
'x+1/2,-y+1/2,z+1/2'
loop_
_atom_site_label
_atom_site_fract_x
_atom_site_fract_y
_atom_site_fract_z
Ac1 0.000 0.000 0.000
Ge1 0.000 0.500 0.246
Pt1 0.000 0.000 0.364
Rh1 0.000 0.000 0.623

[5]
# LiMg2Pb PBE-GGA relaxed
# electronic total energy: -9.2 eV per cell
# theoretical density: 4.68 Mg/m³
data_LiMg2Pb
_cell_length_a 3.554
_cell_length_b 4.227
_cell_length_c 6.212
_cell_angle_alpha 90.00
_cell_angle_beta 90.00
_cell_angle_gamma 90.00
_symmetry_space_group_name_H-M 'P m m m'
_symmetry_Int_Tables_number 47
loop_
_symmetry_equiv_pos_as_xyz
'x,y,z'
'-x,-y,-z'
'-x,-y,z'
'x,y,-z'
'x,-y,-z'
'-x,y,z'
'-x,y,-z'
'x,-y,z'
loop_
_atom_site_label
_atom_site_fract_x
_atom_site_fract_y
_atom_site_fract_z
Li1 0.000 0.000 0.000
Mg1 0.500 0.500 0.243
Pb1 0.000 0.000 0.500